12
Lattice="-2.125 3.678 2.660 -2.549 -4.214 -0.931 2.868 -3.227 6.755" Properties=species:S:1:pos:R:3 comment="Hf3TiCr8 PBE-GGA relaxed" magmom_total_mub_per_fu=0.0 dft_energy_ev_per_cell=-116.0 delta_e_f_ev_per_atom=-0.1007 dos_ef_per_ev_atom=0.73 pbc="T T T"
Cr -2.831 -1.870 2.721
Cr 0.458 -4.808 7.015
Cr -1.752 -3.737 1.371
Cr -0.458 -1.598 1.843
Cr -1.244 -0.845 7.231
Cr -0.972 -3.199 3.647
Cr -0.194 -2.663 5.916
Cr 1.066 -0.580 6.377
Ti 1.605 -1.806 3.781
Hf 2.683 -3.019 6.319
Hf -0.996 -0.382 4.454
Hf -2.092 0.851 1.874